Entry 1:
{"formula": "V2CoHRu", "functional": "GGA-PBE", "state": "relaxed", "lattice_angstrom": [[3.878, 0.000, 0.000], [0.000, 3.878, 0.000], [0.000, 0.000, 3.501]], "species": ["V", "V", "Co", "H", "Ru"], "fractional_positions": [[0.000, 0.500, 0.000], [0.500, 0.000, 0.000], [0.000, 0.000, 0.500], [0.000, 0.000, 0.000], [0.500, 0.500, 0.500]], "de_polymorph_mev_per_atom": 0, "space_group": "P4/mmm"}

***

Entry 2:
{"formula": "Rb2MgSnH6", "functional": "GGA-PBE", "state": "relaxed", "lattice_angstrom": [[-3.054, 3.061, 4.321], [3.054, -3.061, 4.321], [3.054, 3.061, -4.321]], "species": ["Rb", "Rb", "Mg", "Sn", "H", "H", "H", "H", "H", "H"], "fractional_positions": [[0.250, 0.250, 0.000], [0.750, 0.750, 0.000], [0.500, 0.000, 0.500], [0.000, 0.500, 0.500], [0.264, 0.236, 0.500], [0.264, 0.764, 0.028], [0.264, 0.764, 0.500], [0.736, 0.236, 0.500], [0.736, 0.236, 0.972], [0.736, 0.764, 0.500]], "e_tot_ev_per_atom": -2.7982, "space_group": "Immm"}